CuTcSN2: relaxed, PBE-GGA.

Values from the calculation:
- ΔE_f (raw) (kcal/mol of atoms) = 14.9
- energy above the lowest structure with this stoichiometry (meV per atom) = 0
- electronic total energy (eV/atom) = -6.40

abc: 3.7544 3.7544 5.1827
angles: 90.00 90.00 90.00
Last column: nearest neighbours and their distance in Å.
Element x y z (fractional)
S1 0.0000 0.0000 0.5000  2 Tc 2.59, 4 Cu 2.65
Tc1 0.0000 0.0000 0.0000  4 N 1.88
Cu1 0.5000 0.5000 0.5000  4 S 2.65
N1 0.0000 0.5000 0.0000  2 Tc 1.88
N2 0.5000 0.0000 0.0000  2 Tc 1.88